# 1
First-principles (PBEsol) data for a relaxed structure of Ca2CdAs2, as listed in Alexandria.

formation energy from the elements = -0.949 eV per atom
spin magnetization = 0.0 μB/f.u.
ρ = 4.6 g/cm³
space-group type = Cmc2_1 (36)

The structure in extended XYZ format:
```
10
Lattice="2.144 -8.138 0.000 2.144 8.138 0.000 0.000 0.000 7.052" Properties=species:S:1:pos:R:3 pbc="T T T"
Ca 2.144 7.623 3.526
Ca 2.144 4.885 1.112
Ca 2.144 -4.885 4.638
Ca 2.144 -7.623 0.000
Cd 2.144 1.609 2.358
Cd 2.144 -1.609 5.884
As 2.144 5.190 5.117
As 2.144 1.059 5.033
As 2.144 -1.059 1.507
As 2.144 -5.190 1.591
```

=====

# 2
First-principles (PBEsol) data for a relaxed structure of LiAg2Pb, as listed in Alexandria.

formation energy from the elements = -0.027 eV per atom
spin magnetization = 0.0 μB/f.u.
ρ = 9.3 g/cm³
space-group type = C2/m (12)

The structure in extended XYZ format:
```
4
Lattice="2.896 -4.995 0.000 2.896 4.995 0.000 -1.454 0.000 2.657" Properties=species:S:1:pos:R:3 pbc="T T T"
Li 0.000 0.000 0.000
Ag 0.721 2.497 1.328
Ag 0.721 -2.497 1.328
Pb 2.896 0.000 0.000
```

=====

# 3
First-principles (PBEsol) data for a relaxed structure of LiTaMn2, as listed in Alexandria.

formation energy from the elements = 0.431 eV per atom
spin magnetization = 0.0 μB/f.u.
ρ = 9.2 g/cm³
space-group type = Cmmm (65)

The structure in extended XYZ format:
```
4
Lattice="1.503 -2.134 0.000 1.503 2.134 0.000 0.000 0.000 8.341" Properties=species:S:1:pos:R:3 pbc="T T T"
Li 0.000 0.000 0.000
Ta 0.000 0.000 4.171
Mn 1.503 0.000 2.133
Mn 1.503 0.000 6.208
```

=====

# 4
First-principles (PBEsol) data for a relaxed structure of SiRh3Au, as listed in Alexandria.

E_form (uncorrected) = 0.403 eV/atom
spin magnetization = 1.0 μB/f.u.
ρ = 10.9 g/cm³
space-group type = Pm-3m (221)

The structure in extended XYZ format:
```
5
Lattice="4.336 0.000 0.000 0.000 4.336 0.000 0.000 0.000 4.336" Properties=species:S:1:pos:R:3 pbc="T T T"
Si 0.000 0.000 0.000
Rh 0.000 0.000 2.168
Rh 0.000 2.168 0.000
Rh 2.168 0.000 0.000
Au 2.168 2.168 2.168
```

=====

# 5
First-principles (PBEsol) data for a relaxed structure of Mg4CdAg5, as listed in Alexandria.

formation energy from the elements = -0.216 eV per atom
spin magnetization = 0.0 μB/f.u.
ρ = 7.0 g/cm³
space-group type = P4/mmm (123)

The structure in extended XYZ format:
```
10
Lattice="3.294 0.000 0.000 0.000 3.294 0.000 0.000 0.000 16.348" Properties=species:S:1:pos:R:3 pbc="T T T"
Mg 0.000 0.000 1.632
Mg 0.000 0.000 4.888
Mg 0.000 0.000 11.461
Mg 0.000 0.000 14.717
Cd 0.000 0.000 8.174
Ag 1.647 1.647 0.000
Ag 1.647 1.647 3.267
Ag 1.647 1.647 6.482
Ag 1.647 1.647 9.866
Ag 1.647 1.647 13.081
```

=====

# 6
First-principles (PBEsol) data for a relaxed structure of MgRhNF2, as listed in Alexandria.

E_form (uncorrected) = -0.688 eV/atom
spin magnetization = 2.3 μB/f.u.
ρ = 5.0 g/cm³
space-group type = P4/mmm (123)

The structure in extended XYZ format:
```
5
Lattice="3.508 0.000 0.000 0.000 3.508 0.000 0.000 0.000 4.875" Properties=species:S:1:pos:R:3 pbc="T T T"
Mg 0.000 0.000 0.000
Rh 1.754 1.754 2.437
N 0.000 0.000 2.437
F 0.000 1.754 0.000
F 1.754 0.000 0.000
```

=====

# 7
First-principles (PBEsol) data for a relaxed structure of ZrPbBr2, as listed in Alexandria.

E_form (uncorrected) = -0.112 eV/atom
spin magnetization = 0.2 μB/f.u.
relative energy among the computed polymorphs = 208.7 meV/atom
ρ = 7.9 g/cm³
space-group type = Cmmm (65)

The structure in extended XYZ format:
```
4
Lattice="3.261 -4.452 0.000 3.261 4.452 0.000 0.000 0.000 3.318" Properties=species:S:1:pos:R:3 pbc="T T T"
Zr 0.000 0.000 0.000
Pb 3.261 0.000 0.000
Br 1.631 2.226 1.659
Br 1.631 -2.226 1.659
```

=====

# 8
First-principles (PBEsol) data for a relaxed structure of La2MoPRu, as listed in Alexandria.

formation energy from the elements = 0.401 eV per atom
spin magnetization = 3.2 μB/f.u.
ρ = 6.5 g/cm³
space-group type = P4/mmm (123)

The structure in extended XYZ format:
```
5
Lattice="5.523 0.000 0.000 0.000 5.523 0.000 0.000 0.000 4.239" Properties=species:S:1:pos:R:3 pbc="T T T"
La 0.000 2.761 0.000
La 2.761 0.000 0.000
Mo 0.000 0.000 2.119
P 2.761 2.761 0.000
Ru 2.761 2.761 2.119
```

=====

# 9
First-principles (PBEsol) data for a relaxed structure of Tl2TeSe, as listed in Alexandria.

E_form (uncorrected) = -0.094 eV/atom
spin magnetization = 0.0 μB/f.u.
relative energy among the computed polymorphs = 88.2 meV/atom
ρ = 9.1 g/cm³
space-group type = Immm (71)

The structure in extended XYZ format:
```
4
Lattice="-2.104 2.336 5.702 2.104 -2.336 5.702 2.104 2.336 -5.702" Properties=species:S:1:pos:R:3 pbc="T T T"
Tl 0.000 0.000 2.366
Tl 0.000 0.000 9.037
Te 0.000 2.336 0.000
Se 2.104 0.000 0.000
```

=====

# 10
First-principles (PBEsol) data for a relaxed structure of YBeMo, as listed in Alexandria.

formation energy from the elements = 0.697 eV per atom
spin magnetization = 0.0 μB/f.u.
relative energy among the computed polymorphs = 0.0 meV/atom
ρ = 5.9 g/cm³
space-group type = F-43m (216)

The structure in extended XYZ format:
```
3
Lattice="0.000 3.007 3.007 3.007 0.000 3.007 3.007 3.007 0.000" Properties=species:S:1:pos:R:3 pbc="T T T"
Y 0.000 0.000 0.000
Be 4.510 4.510 4.510
Mo 3.007 3.007 3.007
```

=====

# 11
First-principles (PBEsol) data for a relaxed structure of Mg6Ir7, as listed in Alexandria.

formation energy from the elements = -0.219 eV per atom
spin magnetization = 0.0 μB/f.u.
ρ = 11.6 g/cm³
space-group type = R-3m (166)

The structure in extended XYZ format:
```
13
Lattice="2.624 1.515 8.970 -2.624 1.515 8.970 0.000 -3.030 8.970" Properties=species:S:1:pos:R:3 pbc="T T T"
Mg 0.000 0.000 1.433
Mg 0.000 0.000 4.160
Mg 0.000 0.000 9.056
Mg 0.000 0.000 17.855
Mg 0.000 0.000 22.752
Mg 0.000 0.000 25.478
Ir -1.344 -0.776 11.382
Ir 0.000 -1.551 15.530
Ir -1.344 0.776 15.530
Ir 0.000 0.000 13.456
Ir 1.344 -0.776 11.382
Ir 0.000 1.551 11.382
Ir 1.344 0.776 15.530
```

=====

# 12
First-principles (PBEsol) data for a relaxed structure of SrMn2BeBi, as listed in Alexandria.

formation energy from the elements = 2.234 eV per atom
spin magnetization = 8.0 μB/f.u.
ρ = 4.5 g/cm³
space-group type = P4/mmm (123)

The structure in extended XYZ format:
```
5
Lattice="5.072 0.000 0.000 0.000 5.072 0.000 0.000 0.000 5.897" Properties=species:S:1:pos:R:3 pbc="T T T"
Sr 0.000 0.000 0.000
Mn 0.000 2.536 0.000
Mn 2.536 0.000 0.000
Be 2.536 2.536 2.949
Bi 0.000 0.000 2.949
```

=====

# 13
First-principles (PBEsol) data for a relaxed structure of ScCd2, as listed in Alexandria.

formation energy from the elements = -0.231 eV per atom
spin magnetization = 0.0 μB/f.u.
ρ = 7.2 g/cm³
space-group type = Cmcm (63)

The structure in extended XYZ format:
```
6
Lattice="1.722 -7.258 0.000 1.722 7.258 0.000 0.000 0.000 4.979" Properties=species:S:1:pos:R:3 pbc="T T T"
Sc 1.722 5.825 3.734
Sc 1.722 -5.825 1.245
Cd 1.722 3.910 1.245
Cd 1.722 0.965 3.734
Cd 1.722 -0.965 1.245
Cd 1.722 -3.910 3.734
```

=====

# 14
First-principles (PBEsol) data for a relaxed structure of La3BBr, as listed in Alexandria.

E_form (uncorrected) = -0.148 eV/atom
spin magnetization = 0.0 μB/f.u.
relative energy among the computed polymorphs = 0.0 meV/atom
ρ = 5.7 g/cm³
space-group type = Pm-3m (221)

The structure in extended XYZ format:
```
5
Lattice="5.273 0.000 0.000 0.000 5.273 0.000 0.000 0.000 5.273" Properties=species:S:1:pos:R:3 pbc="T T T"
La 0.000 0.000 2.637
La 0.000 2.637 0.000
La 2.637 0.000 0.000
B 0.000 0.000 0.000
Br 2.637 2.637 2.637
```

=====

# 15
First-principles (PBEsol) data for a relaxed structure of BaCoH3, as listed in Alexandria.

spin magnetization = 0.4 μB/f.u.
uncorrected energy = -4.18 eV per atom
ρ = 6.1 g/cm³
space-group type = Pm-3m (221)

The structure in extended XYZ format:
```
5
Lattice="3.788 0.000 0.000 0.000 3.788 0.000 0.000 0.000 3.788" Properties=species:S:1:pos:R:3 pbc="T T T"
Ba 0.000 0.000 0.000
Co 1.894 1.894 1.894
H 0.000 1.894 1.894
H 1.894 0.000 1.894
H 1.894 1.894 0.000
```

=====

# 16
First-principles (PBEsol) data for a relaxed structure of HoErRh2, as listed in Alexandria.

formation energy from the elements = -0.884 eV per atom
spin magnetization = 0.0 μB/f.u.
ρ = 11.9 g/cm³
space-group type = Fm-3m (225)

The structure in extended XYZ format:
```
4
Lattice="0.000 3.346 3.346 3.346 0.000 3.346 3.346 3.346 0.000" Properties=species:S:1:pos:R:3 pbc="T T T"
Ho 0.000 0.000 0.000
Er 3.346 3.346 3.346
Rh 1.673 1.673 1.673
Rh 5.019 5.019 5.019
```

=====

# 17
First-principles (PBEsol) data for a relaxed structure of Tc4Pt5, as listed in Alexandria.

formation energy from the elements = -0.214 eV per atom
spin magnetization = 0.0 μB/f.u.
ρ = 17.4 g/cm³
space-group type = I4/mmm (139)

The structure in extended XYZ format:
```
9
Lattice="-4.102 4.102 1.934 4.102 -4.102 1.934 4.102 4.102 -1.934" Properties=species:S:1:pos:R:3 pbc="T T T"
Tc 2.861 0.000 0.000
Tc 5.342 0.000 0.000
Tc 0.000 2.861 0.000
Tc 0.000 5.342 0.000
Pt 0.000 0.000 0.000
Pt 2.708 2.708 0.000
Pt 1.394 -1.394 1.934
Pt -1.394 1.394 1.934
Pt 1.394 1.394 1.934
```

=====

# 18
First-principles (PBEsol) data for a relaxed structure of CoRu2, as listed in Alexandria.

formation energy from the elements = 0.091 eV per atom
spin magnetization = 0.9 μB/f.u.
ρ = 11.7 g/cm³
space-group type = Cmcm (63)

The structure in extended XYZ format:
```
6
Lattice="1.321 -6.722 0.000 1.321 6.722 0.000 0.000 0.000 4.167" Properties=species:S:1:pos:R:3 pbc="T T T"
Co 1.321 3.702 3.125
Co 1.321 -3.702 1.042
Ru 1.321 5.158 1.042
Ru 1.321 0.776 1.042
Ru 1.321 -0.776 3.125
Ru 1.321 -5.158 3.125
```

=====

# 19
First-principles (PBEsol) data for a relaxed structure of MnFe2Br, as listed in Alexandria.

E_form (uncorrected) = 0.767 eV/atom
spin magnetization = 8.8 μB/f.u.
relative energy among the computed polymorphs = 19.4 meV/atom
ρ = 7.5 g/cm³
space-group type = I4/mmm (139)

The structure in extended XYZ format:
```
4
Lattice="-1.797 1.797 4.218 1.797 -1.797 4.218 1.797 1.797 -4.218" Properties=species:S:1:pos:R:3 pbc="T T T"
Mn 0.000 0.000 0.000
Fe 1.797 0.000 2.109
Fe 0.000 1.797 2.109
Br 0.000 0.000 4.218
```

=====

# 20
First-principles (PBEsol) data for a relaxed structure of InSb2OsBr, as listed in Alexandria.

E_form (uncorrected) = 0.178 eV/atom
spin magnetization = 0.0 μB/f.u.
ρ = 7.8 g/cm³
space-group type = P4/mmm (123)

The structure in extended XYZ format:
```
5
Lattice="5.051 0.000 0.000 0.000 5.051 0.000 0.000 0.000 5.238" Properties=species:S:1:pos:R:3 pbc="T T T"
In 0.000 0.000 0.000
Sb 0.000 2.526 2.619
Sb 2.526 0.000 2.619
Os 0.000 0.000 2.619
Br 2.526 2.526 0.000
```

=====

Number 1: calculated volume 24.60 A^3/atom. Number 2: calculated volume 19.21 A^3/atom. Number 3: calculated volume 13.37 A^3/atom. Number 4: calculated volume 16.30 A^3/atom. Number 5: calculated volume 17.74 A^3/atom. Number 6: calculated volume 12.00 A^3/atom. Number 7: calculated volume 24.09 A^3/atom. Number 8: calculated volume 25.86 A^3/atom. Number 9: calculated volume 28.03 A^3/atom. Number 10: calculated volume 18.12 A^3/atom. Number 11: calculated volume 16.46 A^3/atom. Number 12: calculated volume 30.34 A^3/atom. Number 13: calculated volume 20.74 A^3/atom. Number 14: calculated volume 29.33 A^3/atom. Number 15: calculated volume 10.87 A^3/atom. Number 16: calculated volume 18.73 A^3/atom. Number 17: calculated volume 14.46 A^3/atom. Number 18: calculated volume 12.33 A^3/atom. Number 19: calculated volume 13.63 A^3/atom. Number 20: calculated volume 26.73 A^3/atom.